(1)
{
  "formula": "KSr2Ir",
  "functional": "PBE",
  "state": "optimized geometry",
  "spacegroup": "C2/m (12)",
  "de_polymorph_mev_per_atom": 0,
  "dos_ef_per_ev_fu": 2.0,
  "formation_energy_kj_per_mol_atoms": 0,
  "lattice": [[-1.2705, 2.3716, -3.5491], [-4.3135, 0.2612, -1.0773], [-2.8421, 9.4973, 4.6100]],
  "species": ["Ir", "K", "Sr", "Sr"],
  "frac_coords": [[0.7500, 0.7500, 0.7500], [0.2500, 0.2500, 0.2500], [0.0374, 0.0374, 0.8900], [0.4626, 0.4626, 0.6100]]
}

(2)
{
  "formula": "CePa2TcN5",
  "functional": "PBE",
  "state": "optimized geometry",
  "spacegroup": "I4/mcm (140)",
  "formation_energy_uncorrected_ev_per_fu": -10.78,
  "dos_ef_per_ev_fu": 7.1,
  "lattice": [[-2.3201, 4.7858, -3.8019], [-6.1093, -1.6913, 1.5992], [4.3817, 2.1289, 5.6270]],
  "species": ["Ce", "Ce", "Pa", "Pa", "Pa", "Pa", "Tc", "Tc", "N", "N", "N", "N", "N", "N", "N", "N", "N", "N"],
  "frac_coords": [[0.2500, 0.2500, 0.5000], [0.7500, 0.7500, 0.5000], [0.1762, 0.3238, 0.0000], [0.6762, 0.1762, 0.0000], [0.3238, 0.8238, 0.0000], [0.8238, 0.6762, 0.0000], [0.2500, 0.7500, 0.5000], [0.7500, 0.2500, 0.5000], [0.9815, 0.4815, 0.2650], [0.7165, 0.2165, 0.7350], [0.0185, 0.5185, 0.7350], [0.2165, 0.0185, 0.7350], [0.5185, 0.7165, 0.7350], [0.7835, 0.9815, 0.2650], [0.4815, 0.2835, 0.2650], [0.2835, 0.7835, 0.2650], [0.5000, 0.5000, 0.0000], [0.0000, 0.0000, 0.0000]]
}

(3)
{
  "formula": "Mg2CoHIr",
  "functional": "PBE",
  "state": "optimized geometry",
  "spacegroup": "P4/mmm (123)",
  "de_polymorph_mev_per_atom": 81,
  "dos_ef_per_ev_fu": 3.9,
  "lattice": [[-0.7393, 0.2732, -4.1465], [-2.0078, -3.7109, 0.1135], [-3.0595, 1.6754, 0.6558]],
  "species": ["H", "Mg", "Mg", "Ir", "Co"],
  "frac_coords": [[0.0000, 0.0000, 0.0000], [0.0000, 0.5000, 0.0000], [0.5000, 0.0000, 0.0000], [0.0000, 0.0000, 0.5000], [0.5000, 0.5000, 0.5000]]
}

(4)
{
  "formula": "Y4Hg5",
  "functional": "PBE",
  "state": "optimized geometry",
  "spacegroup": "P6_3/mcm (193)",
  "de_polymorph_mev_per_atom": 0,
  "dos_ef_per_ev_fu": 7.4,
  "formation_energy_kj_per_mol_atoms": -41,
  "lattice": [[9.1283, 0.0000, 0.0000], [4.5642, 7.9054, 0.0000], [0.0000, 0.0000, 6.4900]],
  "species": ["Hg", "Hg", "Hg", "Hg", "Hg", "Hg", "Hg", "Hg", "Hg", "Hg", "Y", "Y", "Y", "Y", "Y", "Y", "Y", "Y"],
  "frac_coords": [[0.2979, 0.7021, 0.2500], [0.0000, 0.2979, 0.2500], [0.7021, 0.0000, 0.2500], [0.7021, 0.2979, 0.7500], [0.0000, 0.7021, 0.7500], [0.2979, 0.0000, 0.7500], [0.3333, 0.3333, 0.0000], [0.6667, 0.6667, 0.5000], [0.6667, 0.6667, 0.0000], [0.3333, 0.3333, 0.5000], [0.0000, 0.0000, 0.0000], [0.0000, 0.0000, 0.5000], [0.6303, 0.3697, 0.2500], [0.0000, 0.6303, 0.2500], [0.3697, 0.0000, 0.2500], [0.3697, 0.6303, 0.7500], [0.0000, 0.3697, 0.7500], [0.6303, 0.0000, 0.7500]]
}

(5)
{
  "formula": "BaZrPd2",
  "functional": "PBE",
  "state": "optimized geometry",
  "spacegroup": "P4/mmm (123)",
  "de_polymorph_mev_per_atom": 0,
  "dos_ef_per_ev_fu": 3.3,
  "formation_energy_kj_per_mol_atoms": -49,
  "lattice": [[3.4961, 0.0000, 0.0000], [0.0000, 3.4961, 0.0000], [0.0000, 0.0000, 7.8012]],
  "species": ["Zr", "Ba", "Pd", "Pd"],
  "frac_coords": [[0.5000, 0.5000, 0.0000], [0.5000, 0.5000, 0.5000], [0.0000, 0.0000, 0.8169], [0.0000, 0.0000, 0.1831]]
}

(6)
{
  "formula": "Nd3Sm4Tl",
  "functional": "PBE",
  "state": "optimized geometry",
  "spacegroup": "P4/mmm (123)",
  "de_polymorph_mev_per_atom": 0,
  "dos_ef_per_ev_fu": 11.1,
  "formation_energy_kj_per_mol_atoms": -7,
  "lattice": [[-0.9528, -3.0929, -1.7412], [3.5474, -0.7703, -0.5728], [0.6289, -9.8254, 17.1082]],
  "species": ["Tl", "Nd", "Nd", "Nd", "Sm", "Sm", "Sm", "Sm"],
  "frac_coords": [[0.5000, 0.5000, 0.0000], [0.5000, 0.5000, 0.2380], [0.5000, 0.5000, 0.5000], [0.5000, 0.5000, 0.7620], [0.0000, 0.0000, 0.8921], [0.0000, 0.0000, 0.1079], [0.0000, 0.0000, 0.3697], [0.0000, 0.0000, 0.6303]]
}

(7)
{
  "formula": "SbH2S",
  "functional": "PBE",
  "state": "optimized geometry",
  "spacegroup": "R-3m (166)",
  "de_polymorph_mev_per_atom": 150,
  "dos_ef_per_ev_fu": 0.7,
  "lattice": [[-0.0505, -2.5985, -1.9402], [2.6627, -1.8199, -0.3428], [-0.7825, -4.7187, 3.6291]],
  "species": ["Sb", "S", "H", "H"],
  "frac_coords": [[0.0000, 0.0000, 0.0000], [0.5000, 0.5000, 0.5000], [0.1347, 0.1347, 0.5958], [0.8653, 0.8653, 0.4042]]
}

(8)
{
  "formula": "K3NpPb2O6",
  "functional": "PBE",
  "state": "optimized geometry",
  "spacegroup": "C2/m (12)",
  "formation_energy_uncorrected_ev_per_fu": -21.88,
  "dos_ef_per_ev_fu": 6.2,
  "lattice": [[-1.1265, -3.6371, -5.0956], [5.4718, 3.2275, 0.3254], [1.2106, -4.6905, 4.4660]],
  "species": ["K", "K", "K", "Np", "Pb", "Pb", "O", "O", "O", "O", "O", "O"],
  "frac_coords": [[0.1712, 0.8288, 0.5000], [0.8288, 0.1712, 0.5000], [0.5000, 0.5000, 0.5000], [0.0000, 0.0000, 0.0000], [0.3254, 0.6746, 0.0000], [0.6746, 0.3254, 0.0000], [0.9381, 0.6409, 0.8017], [0.8090, 0.8090, 0.1969], [0.0619, 0.3591, 0.1983], [0.6409, 0.9381, 0.8017], [0.1910, 0.1910, 0.8031], [0.3591, 0.0619, 0.1983]]
}

(9)
{
  "formula": "NaCr2HgPb",
  "functional": "PBE",
  "state": "optimized geometry",
  "spacegroup": "P4/mmm (123)",
  "dos_ef_per_ev_fu": 2.0,
  "formation_energy_kj_per_mol_atoms": 86,
  "lattice": [[5.4453, 0.0000, 0.0000], [0.0000, 5.7743, 0.0000], [0.0000, 0.0000, 5.4453]],
  "species": ["Pb", "Cr", "Cr", "Hg", "Na"],
  "frac_coords": [[0.0000, 0.0000, 0.0000], [0.0000, 0.0000, 0.5000], [0.5000, 0.0000, 0.0000], [0.5000, 0.5000, 0.5000], [0.0000, 0.5000, 0.0000]]
}

(10)
{
  "formula": "BeZn2Pt",
  "functional": "PBE",
  "state": "optimized geometry",
  "spacegroup": "Pmmm (47)",
  "dos_ef_per_ev_fu": 1.0,
  "formation_energy_kj_per_mol_atoms": -28,
  "lattice": [[3.5909, 0.0000, 0.0000], [0.0000, 3.6706, 0.0000], [0.0000, 0.0000, 3.9788]],
  "species": ["Be", "Zn", "Zn", "Pt"],
  "frac_coords": [[0.5000, 0.0000, 0.5000], [0.0000, 0.0000, 0.0000], [0.5000, 0.5000, 0.0000], [0.0000, 0.5000, 0.5000]]
}